1.
## KSn3Cl (PBE-GGA)

Data for a relaxed KSn3Cl crystal.

Unit cell a=5.5943 b=5.5943 c=5.5943 alpha=90.00 beta=90.00 gamma=90.00
With the nearest neighbours (Å) after each atom.
Atoms (fractional coordinates):
1 K 0.5000 0.5000 0.5000  12 Sn 3.96
2 Sn 0.0000 0.5000 0.0000  2 Cl 2.80
3 Sn 0.0000 0.0000 0.5000  2 Cl 2.80
4 Sn 0.5000 0.0000 0.0000  2 Cl 2.80
5 Cl 0.0000 0.0000 0.0000  6 Sn 2.80

Properties
Its energy relative to the elements, uncorrected is 0.165 eV per atom. Its space-group type is No. 221. Its excess energy over the best structure of this formula in the dataset is 0 meV per atom. The crystal system is cubic. As for the density of states at the Fermi level: 2.07 states/eV per cell. Its size of the total moment is 0.00 μB per formula unit.

=====

2.
## ZrNiBOs2 (PBE-GGA)

Data for a relaxed ZrNiBOs2 crystal.

Unit cell a=4.1776 b=4.1776 c=3.9279 alpha=90.00 beta=90.00 gamma=90.00
With the nearest neighbours (Å) after each atom.
Atoms (fractional coordinates):
1 Ni 0.0000 0.0000 0.5000  2 B 1.96
2 B 0.0000 0.0000 0.0000  2 Ni 1.96, 4 Os 2.09
3 Os 0.0000 0.5000 0.0000  2 B 2.09
4 Os 0.5000 0.0000 0.0000  2 B 2.09
5 Zr 0.5000 0.5000 0.5000  8 Os 2.87, 4 Ni 2.95

Properties
For the energy, the calculation gives -45.0 eV/cell. Its space-group type is No. 123. The crystal system is tetragonal. As for the density of states at the Fermi level: 3.82 states/eV per cell. Its size of the total moment is 0.66 μB per formula unit.

=====

3.
## Li2CeI6 (PBE-GGA)

Data for a relaxed Li2CeI6 crystal.

Unit cell a=7.4977 b=7.1352 c=12.9398 alpha=90.00 beta=90.02 gamma=90.00
With the nearest neighbours (Å) after each atom.
Atoms (fractional coordinates):
1 Li 0.0000 0.5011 0.8386  6 I 2.97-3.18
2 Li 0.5000 0.0011 0.6614  6 I 2.97-3.18
3 Li 0.5000 0.9989 0.3386  6 I 2.97-3.18
4 Li 0.0000 0.4989 0.1614  6 I 2.97-3.18
5 Ce 0.5000 0.5000 0.0000  6 I 3.04
6 Ce 0.0000 0.0000 0.5000  6 I 3.04
7 I 0.8274 0.7585 0.3342  2 Li 3.00-3.18, 1 Ce 3.04
8 I 0.8274 0.7598 0.6662  2 Li 3.00-3.17, 1 Ce 3.04
9 I 0.8342 0.7404 0.0003  2 Li 2.97-2.98, 1 Ce 3.04
10 I 0.6658 0.2404 0.4997  2 Li 2.97-2.98, 1 Ce 3.04
11 I 0.6726 0.2598 0.8338  2 Li 3.00-3.17, 1 Ce 3.04
12 I 0.6726 0.2585 0.1658  2 Li 3.00-3.18, 1 Ce 3.04
13 I 0.1726 0.2415 0.6658  2 Li 3.00-3.18, 1 Ce 3.04
14 I 0.1726 0.2402 0.3338  2 Li 3.00-3.17, 1 Ce 3.04
15 I 0.1658 0.2596 0.9997  2 Li 2.97-2.98, 1 Ce 3.04
16 I 0.3342 0.7596 0.5003  2 Li 2.97-2.98, 1 Ce 3.04
17 I 0.3274 0.7402 0.1662  2 Li 3.00-3.17, 1 Ce 3.04
18 I 0.3274 0.7415 0.8342  2 Li 3.00-3.18, 1 Ce 3.04

Properties
Its energy relative to the elements, uncorrected is -1.150 eV per atom. Its space-group type is No. 14. The crystal system is monoclinic. Its size of the total moment is 0.00 μB per formula unit.

=====

4.
## KInGa3 (PBE-GGA)

Data for a relaxed KInGa3 crystal.

Unit cell a=5.4772 b=5.4772 c=5.4772 alpha=90.00 beta=90.00 gamma=90.00
With the nearest neighbours (Å) after each atom.
Atoms (fractional coordinates):
1 K 0.5000 0.5000 0.5000  12 Ga 3.87
2 Ga 0.0000 0.5000 0.0000  2 In 2.74
3 Ga 0.0000 0.0000 0.5000  2 In 2.74
4 Ga 0.5000 0.0000 0.0000  2 In 2.74
5 In 0.0000 0.0000 0.0000  6 Ga 2.74

Properties
Its space-group type is No. 221. Its excess energy over the best structure of this formula in the dataset is 409 meV per atom. The crystal system is cubic. As for the density of states at the Fermi level: 3.59 states/eV per cell. Its size of the total moment is 0.00 μB per formula unit.

=====

5.
## AcNdBiSb (PBE-GGA)

Data for a relaxed AcNdBiSb crystal.

Unit cell a=5.5811 b=5.5811 c=13.0356 alpha=77.64 beta=77.64 gamma=60.00
With the nearest neighbours (Å) after each atom.
Atoms (fractional coordinates):
1 Ac 0.7926 0.7926 0.6222  4 Sb 3.25-3.52, 1 Bi 3.36
2 Ac 0.2074 0.2074 0.3778  4 Sb 3.25-3.52, 1 Bi 3.36
3 Nd 0.6211 0.6211 0.1368  4 Bi 3.14-3.24
4 Nd 0.3789 0.3789 0.8632  4 Bi 3.14-3.24
5 Bi 0.7039 0.7039 0.8882  4 Nd 3.14-3.24, 1 Ac 3.36
6 Bi 0.2961 0.2961 0.1118  4 Nd 3.14-3.24, 1 Ac 3.36
7 Sb 0.1145 0.1145 0.6564  4 Ac 3.25-3.52
8 Sb 0.8855 0.8855 0.3436  4 Ac 3.25-3.52

Properties
Its energy relative to the elements, uncorrected is -0.690 eV per atom. Its space-group type is No. 166. Its excess energy over the best structure of this formula in the dataset is 120 meV per atom. The crystal system is trigonal. As for the density of states at the Fermi level: 0.52 states/eV per cell. Its size of the total moment is 0.00 μB per formula unit.

=====

6.
## CdAg3Pd6 (PBE-GGA)

Data for a relaxed CdAg3Pd6 crystal.

Unit cell a=4.6950 b=7.5483 c=10.1888 alpha=113.96 beta=90.00 gamma=90.00
With the nearest neighbours (Å) after each atom.
Atoms (fractional coordinates):
1 Cd 0.2500 0.9630 0.5744  8 Pd 2.77-2.91, 2 Ag 2.90-2.92, 2 Cd 2.97
2 Cd 0.7500 0.0370 0.4256  8 Pd 2.77-2.91, 2 Ag 2.90-2.92, 2 Cd 2.97
3 Ag 0.2500 0.5592 0.3665  9 Pd 2.81-2.87, 2 Ag 2.90, 1 Cd 2.92
4 Ag 0.7500 0.4408 0.6335  9 Pd 2.81-2.87, 2 Ag 2.90, 1 Cd 2.92
5 Ag 0.2500 0.3688 0.7723  8 Pd 2.79-2.86, 3 Ag 2.87-2.90, 1 Cd 2.90
6 Ag 0.7500 0.6312 0.2277  8 Pd 2.79-2.86, 3 Ag 2.87-2.90, 1 Cd 2.90
7 Ag 0.2500 0.7689 0.9695  11 Pd 2.80-2.90, 1 Ag 2.87
8 Ag 0.7500 0.2311 0.0305  11 Pd 2.80-2.90, 1 Ag 2.87
9 Pd 0.2500 0.4610 0.0670  7 Ag 2.79-2.87, 5 Pd 2.84-2.89
10 Pd 0.7500 0.5390 0.9330  7 Ag 2.79-2.87, 5 Pd 2.84-2.89
11 Pd 0.2500 0.1647 0.1713  8 Pd 2.81-2.85, 4 Ag 2.83-2.90
12 Pd 0.7500 0.8353 0.8287  8 Pd 2.81-2.85, 4 Ag 2.83-2.90
13 Pd 0.2500 0.6688 0.6702  1 Cd 2.77, 5 Ag 2.83-2.86, 6 Pd 2.84-2.89
14 Pd 0.7500 0.3312 0.3298  1 Cd 2.77, 5 Ag 2.83-2.86, 6 Pd 2.84-2.89
15 Pd 0.2500 0.2664 0.4702  4 Ag 2.81-2.87, 5 Pd 2.82-2.90, 3 Cd 2.84-2.89
16 Pd 0.7500 0.7336 0.5298  4 Ag 2.81-2.87, 5 Pd 2.82-2.90, 3 Cd 2.84-2.89
17 Pd 0.2500 0.8638 0.2670  5 Pd 2.81-2.90, 4 Ag 2.82-2.86, 3 Cd 2.85-2.91
18 Pd 0.7500 0.1362 0.7330  5 Pd 2.81-2.90, 4 Ag 2.82-2.86, 3 Cd 2.85-2.91
19 Pd 0.2500 0.0651 0.8710  1 Cd 2.80, 4 Ag 2.80-2.85, 7 Pd 2.84-2.90
20 Pd 0.7500 0.9349 0.1290  1 Cd 2.80, 4 Ag 2.80-2.85, 7 Pd 2.84-2.90

Properties
Its space-group type is No. 11. Its excess energy over the best structure of this formula in the dataset is 0 meV per atom. The crystal system is monoclinic. As for the density of states at the Fermi level: 15.59 states/eV per cell. Its size of the total moment is 0.00 μB per formula unit.

=====

- The highest size of the total moment belongs to which entry?
  ZrNiBOs2